No. 1
Density functional theory data (PBE-GGA) for CsBeOs after structural relaxation.

space-group type = F-43m (216)
uncorrected energy = -3.19 eV/atom

Cell and atoms, written as POSCAR:
```
CsBeOs
1.0
0.000 3.196 3.196
3.196 0.000 3.196
3.196 3.196 0.000
Cs Be Os
1 1 1
Cartesian
0.000 0.000 0.000
3.196 3.196 3.196
4.794 4.794 4.794
```

No. 2
Density functional theory data (PBE-GGA) for Y3Mg3Tl2Zn after structural relaxation.

space-group type = P-62m (189)
uncorrected energy = -3.68 eV/atom

Cell and atoms, written as POSCAR:
```
Y3Mg3Tl2Zn
1.0
7.528 0.000 0.000
-3.764 6.520 0.000
0.000 0.000 4.541
Y Mg Tl Zn
3 3 2 1
Cartesian
-2.197 3.805 0.000
1.567 2.715 0.000
4.394 0.000 0.000
-0.889 1.540 2.270
1.779 0.000 2.270
2.875 4.979 2.270
0.000 4.346 2.270
3.764 2.173 2.270
0.000 0.000 0.000
```

No. 3
Density functional theory data (PBE-GGA) for SrTmHg after structural relaxation.

space-group type = F-43m (216)
uncorrected energy = -1.82 eV/atom

Cell and atoms, written as POSCAR:
```
SrTmHg
1.0
0.000 3.642 3.642
3.642 0.000 3.642
3.642 3.642 0.000
Sr Tm Hg
1 1 1
Cartesian
0.000 0.000 0.000
5.462 5.462 5.462
3.642 3.642 3.642
```